Material: NaFe4As12
Method: DFT, PBE
State: optimized geometry

a = 7.2411 Å, b = 7.2411 Å, c = 7.2411 Å
α = 109.47°, β = 109.47°, γ = 109.47°
Fractional positions:
As1 0.5035 0.8464 0.6571
As2 0.3429 0.1892 0.8464
As3 0.1536 0.3429 0.4965
As4 0.6571 0.5035 0.8464
As5 0.4965 0.1536 0.3429
As6 0.8464 0.6571 0.5035
As7 0.6571 0.8108 0.1536
As8 0.1536 0.6571 0.8108
As9 0.1892 0.8464 0.3429
As10 0.8464 0.3429 0.1892
As11 0.8108 0.1536 0.6571
As12 0.3429 0.4965 0.1536
Fe1 0.5000 0.5000 0.5000
Fe2 0.0000 0.0000 0.5000
Fe3 0.0000 0.5000 0.0000
Fe4 0.5000 0.0000 0.0000
Na1 0.0000 0.0000 0.0000

formation enthalpy at 0 K: -21 kJ per mole of atoms
space-group type: Im-3 (204)
DOS at the Fermi energy: 12.93 states/eV per cell